Entry from the Alexandria database: a geometry-optimized Ba2LaRh9 structure (PBE-GGA).

Calculated volume in Å³/atom: 19.445
Space group: R-3m, No. 166
ΔE_f in meV/atom: -199
Size of the total moment in μB per formula unit: 0.0

a b c (Å): 9.6024 9.6024 9.6024
angles (deg): 32.97 32.97 32.97
Closest atoms and distances in Å follow each position.
Atoms (fractional coordinates):
Ba: 0.1412 0.1412 0.1412  12 Rh 3.22-3.51, 3 Ba 3.44
Ba: 0.8588 0.8588 0.8588  12 Rh 3.22-3.51, 3 Ba 3.44
La: 0.0000 0.0000 0.0000  18 Rh 3.15-3.44
Rh: 0.0844 0.5738 0.5738  7 Rh 2.61-2.88
Rh: 0.3317 0.3317 0.3317  6 Rh 2.61-2.64
Rh: 0.4262 0.4262 0.9156  7 Rh 2.61-2.88
Rh: 0.4262 0.9156 0.4262  7 Rh 2.61-2.88
Rh: 0.5000 0.5000 0.5000  6 Rh 2.88, 6 Ba 3.22
Rh: 0.5738 0.0844 0.5738  7 Rh 2.61-2.88
Rh: 0.5738 0.5738 0.0844  7 Rh 2.61-2.88
Rh: 0.6683 0.6683 0.6683  6 Rh 2.61-2.64
Rh: 0.9156 0.4262 0.4262  7 Rh 2.61-2.88

=====

Entry from the Alexandria database: a geometry-optimized Ba3LaRh structure (PBE-GGA).

Calculated volume in Å³/atom: 46.375
Space group: Pm-3m, No. 221
ΔE_f in meV/atom: 1164
Size of the total moment in μB per formula unit: 0.0

a b c (Å): 6.1435 6.1435 6.1435
angles (deg): 90.00 90.00 90.00
Closest atoms and distances in Å follow each position.
Atoms (fractional coordinates):
Ba: 0.0000 0.0000 0.5000  2 La 3.07
Ba: 0.0000 0.5000 0.0000  2 La 3.07
Ba: 0.5000 0.0000 0.0000  2 La 3.07
La: 0.0000 0.0000 0.0000  6 Ba 3.07
Rh: 0.5000 0.5000 0.5000  12 Ba 4.34

=====

What is the formula in the second record? Ba3LaRh

=====

Repeat the first record exactly.
Entry from the Alexandria database: a geometry-optimized Ba2LaRh9 structure (PBE-GGA).

Calculated volume in Å³/atom: 19.445
Space group: R-3m, No. 166
ΔE_f in meV/atom: -199
Size of the total moment in μB per formula unit: 0.0

a b c (Å): 9.6024 9.6024 9.6024
angles (deg): 32.97 32.97 32.97
Closest atoms and distances in Å follow each position.
Atoms (fractional coordinates):
Ba: 0.1412 0.1412 0.1412  12 Rh 3.22-3.51, 3 Ba 3.44
Ba: 0.8588 0.8588 0.8588  12 Rh 3.22-3.51, 3 Ba 3.44
La: 0.0000 0.0000 0.0000  18 Rh 3.15-3.44
Rh: 0.0844 0.5738 0.5738  7 Rh 2.61-2.88
Rh: 0.3317 0.3317 0.3317  6 Rh 2.61-2.64
Rh: 0.4262 0.4262 0.9156  7 Rh 2.61-2.88
Rh: 0.4262 0.9156 0.4262  7 Rh 2.61-2.88
Rh: 0.5000 0.5000 0.5000  6 Rh 2.88, 6 Ba 3.22
Rh: 0.5738 0.0844 0.5738  7 Rh 2.61-2.88
Rh: 0.5738 0.5738 0.0844  7 Rh 2.61-2.88
Rh: 0.6683 0.6683 0.6683  6 Rh 2.61-2.64
Rh: 0.9156 0.4262 0.4262  7 Rh 2.61-2.88

=====

What did the first record say?
Entry from the Alexandria database: a geometry-optimized Ba2LaRh9 structure (PBE-GGA).

Calculated volume in Å³/atom: 19.445
Space group: R-3m, No. 166
ΔE_f in meV/atom: -199
Size of the total moment in μB per formula unit: 0.0

a b c (Å): 9.6024 9.6024 9.6024
angles (deg): 32.97 32.97 32.97
Closest atoms and distances in Å follow each position.
Atoms (fractional coordinates):
Ba: 0.1412 0.1412 0.1412  12 Rh 3.22-3.51, 3 Ba 3.44
Ba: 0.8588 0.8588 0.8588  12 Rh 3.22-3.51, 3 Ba 3.44
La: 0.0000 0.0000 0.0000  18 Rh 3.15-3.44
Rh: 0.0844 0.5738 0.5738  7 Rh 2.61-2.88
Rh: 0.3317 0.3317 0.3317  6 Rh 2.61-2.64
Rh: 0.4262 0.4262 0.9156  7 Rh 2.61-2.88
Rh: 0.4262 0.9156 0.4262  7 Rh 2.61-2.88
Rh: 0.5000 0.5000 0.5000  6 Rh 2.88, 6 Ba 3.22
Rh: 0.5738 0.0844 0.5738  7 Rh 2.61-2.88
Rh: 0.5738 0.5738 0.0844  7 Rh 2.61-2.88
Rh: 0.6683 0.6683 0.6683  6 Rh 2.61-2.64
Rh: 0.9156 0.4262 0.4262  7 Rh 2.61-2.88